## BeGa2W2 (PBE)

Data for a geometry-optimized BeGa2W2 structure.

a b c (Å): 7.182 7.182 7.182
angles (deg): 152.71 152.71 38.98
Element x y z (fractional)
Be 0.000 0.000 0.000
Ga 0.250 0.750 0.500
Ga 0.750 0.250 0.500
W 0.410 0.410 0.000
W 0.590 0.590 0.000

Summary:
- total magnetization (μB per formula unit) = 0.000
- polymorph energy (0 for the lowest one) (meV/atom) = 332
- energy of formation (meV/atom) = 637
- mass density (Mg/m³) = 11.0